Below is a geometry-optimized Li2ScAl2 structure, with properties calculated at the PBE-GGA level.

Cell lengths 3.765, 3.765, 7.090 Å; angles 74.60, 74.60, 90.00 degrees
Fractional positions:
Sc1 0.000 0.000 0.000
Al1 0.599 0.599 0.801
Li1 0.750 0.250 0.500
Al2 0.401 0.401 0.199
Li2 0.250 0.750 0.500

Calculated values
As for the formation energy: -12.92 kJ per mole of atoms. As for the space group: I4/mmm, No. 139.


Below is a geometry-optimized CsScTe2 structure, with properties calculated at the PBE-GGA level.

Cell lengths 9.388, 9.388, 7.653 Å; angles 52.17, 52.17, 90.00 degrees
Fractional positions:
Te1 0.343 0.157 0.000
Sc1 0.750 0.250 0.500
Te2 0.657 0.843 0.000
Te3 0.157 0.657 0.000
Cs1 0.750 0.750 0.500
Cs2 0.250 0.250 0.500
Te4 0.843 0.343 0.000
Sc2 0.250 0.750 0.500

Calculated values
As for the formation energy without anion corrections: -1.14 eV per atom. As for the space group: I4/mcm, No. 140.


Below is a geometry-optimized CdNiAg structure, with properties calculated at the PBE-GGA level.

Cell lengths 2.938, 4.568, 7.456 Å; angles 90.00, 101.36, 90.00 degrees
Fractional positions:
Cd1 0.094 0.250 0.189
Ni1 0.559 0.750 0.118
Ni2 0.441 0.250 0.882
Ag1 0.218 0.750 0.435
Ag2 0.782 0.250 0.565
Cd2 0.906 0.750 0.811

Calculated values
As for the formation energy: 6.99 kJ per mole of atoms. As for the space group: Cmcm, No. 63.


Below is a geometry-optimized SrCa3Rh structure, with properties calculated at the PBE-GGA level.

Cell lengths 6.177, 9.291, 6.290 Å; angles 90.00, 102.95, 90.00 degrees
Fractional positions:
Rh1 0.085 0.750 0.559
Ca1 0.245 0.750 0.157
Rh2 0.915 0.250 0.441
Ca2 0.198 0.032 0.722
Sr1 0.348 0.250 0.274
Sr2 0.652 0.750 0.726
Ca3 0.802 0.532 0.278
Ca4 0.802 0.968 0.278
Ca5 0.755 0.250 0.843
Ca6 0.198 0.468 0.722

Calculated values
As for the formation energy: -19.94 kJ per mole of atoms. As for the space group: P2_1/m, No. 11.


Below is a geometry-optimized Na2OsCl6 structure, with properties calculated at the PBE-GGA level.

Cell lengths 6.677, 7.001, 9.650 Å; angles 90.00, 93.25, 90.00 degrees
Last column: magnetic moment on the atom in μB.
Fractional positions:
Cl1 0.370 0.533 0.770  0.06
Os1 0.000 0.000 0.500  1.40
Cl2 0.336 0.781 0.060  0.07
Na1 0.966 0.403 0.773  0.00
Cl3 0.216 0.319 0.056  0.04
Na2 0.534 0.903 0.727  0.00
Cl4 0.664 0.219 0.940  0.07
Na3 0.034 0.597 0.227  0.00
Cl5 0.784 0.681 0.944  0.04
Cl6 0.164 0.281 0.440  0.07
Na4 0.466 0.097 0.273  0.00
Cl7 0.870 0.967 0.270  0.06
Cl8 0.630 0.467 0.230  0.06
Cl9 0.284 0.819 0.444  0.04
Cl10 0.130 0.033 0.730  0.06
Cl11 0.836 0.719 0.560  0.07
Cl12 0.716 0.181 0.556  0.04
Os2 0.500 0.500 0.000  1.40

Calculated values
As for the formation energy without anion corrections: -1.03 eV per atom. As for the space group: P2_1/c, No. 14.


Below is a geometry-optimized Ti3PtC structure, with properties calculated at the PBE-GGA level.

Cell lengths 5.226, 5.226, 5.226 Å; angles 91.04, 91.04, 91.04 degrees
Fractional positions:
Ti1 0.750 0.019 0.481
Ti2 0.481 0.750 0.019
C1 0.750 0.750 0.750
Pt1 0.000 0.000 0.000
Ti3 0.519 0.250 0.981
Ti4 0.019 0.481 0.750
Pt2 0.500 0.500 0.500
Ti5 0.981 0.519 0.250
C2 0.250 0.250 0.250
Ti6 0.250 0.981 0.519

Calculated values
As for the formation energy: -22.31 kJ per mole of atoms. As for the space group: R-3c, No. 167.